Record 1
DFT (PBE) results for a relaxed structure of Rb3Pu3BeSe8.

Lattice parameters (Å, degrees): 13.930 8.684 9.114 90.00 118.37 90.00
Space group C2/m (No. 12)
Unique sites:
Rb 0.000 0.000 0.000 [2 per cell]
Rb 0.250 0.250 0.000 [4 per cell]
Pu 0.000 0.500 0.500 [2 per cell]
Pu 0.250 0.250 0.500 [4 per cell]
Be 0.000 0.000 0.500 [2 per cell]
Se 0.026 0.274 0.299 [8 per cell]
Se 0.177 0.000 0.651 [4 per cell]
Se 0.232 0.500 0.696 [4 per cell]

Values from the calculation:
Raw formation energy = -1160 meV/atom
M_tot = 0.867 μB per atom
Electronic total energy = -6.327 eV/atom

Record 2
DFT (PBE) results for a relaxed structure of MgCr2Pb.

Lattice parameters (Å, degrees): 3.152 3.152 7.785 90.00 90.00 90.00
Space group P4mm (No. 99)
Unique sites:
Mg 0.000 0.000 0.000 [1 per cell]
Cr 0.000 0.000 0.621 [1 per cell]
Cr 0.500 0.500 0.756 [1 per cell]
Pb 0.500 0.500 0.341 [1 per cell]

Values from the calculation:
M_tot = 0.003 μB per atom
Electronic total energy = -5.812 eV/atom
DFT formation energy = 0.325 eV/atom

Record 3
DFT (PBE) results for a relaxed structure of CaTlRe2Tc.

Lattice parameters (Å, degrees): 4.774 4.774 5.233 90.00 90.00 90.00
Space group P4/mmm (No. 123)
Unique sites:
Ca 0.000 0.000 0.000 [1 per cell]
Tl 0.500 0.500 0.000 [1 per cell]
Re 0.000 0.500 0.500 [2 per cell]
Tc 0.500 0.500 0.500 [1 per cell]

Values from the calculation:
M_tot = 0.217 μB per atom
Electronic total energy = -6.671 eV/atom
DFT formation energy = 1.255 eV/atom

Record 4
DFT (PBE) results for a relaxed structure of Ho4ScP5.

Lattice parameters (Å, degrees): 8.816 8.816 5.589 90.00 90.00 90.00
Space group I4/m (No. 87)
Unique sites:
Ho 0.098 0.300 0.000 [8 per cell]
Sc 0.000 0.000 0.500 [2 per cell]
P 0.000 0.000 0.000 [2 per cell]
P 0.098 0.293 0.500 [8 per cell]

Values from the calculation:
M_tot = 0.000 μB per atom
Electronic total energy = -6.744 eV/atom
DFT formation energy = -1.574 eV/atom